8
Lattice="3.049 0.000 0.000 -0.109 5.206 0.000 -1.418 -0.876 7.545" Properties=species:S:1:pos:R:3 comment="CrInO2 (GGA+U, optimized geometry)" spacegroup="P-1, No. 2" dos_at_fermi_per_ev_fu=0.17 total_magnetization_mub_per_cell=5.99 total_energy_ev_per_atom=-6.530 pbc="T T T"
Cr 0.017 0.857 3.662
Cr 1.504 3.473 3.883
In 0.457 3.903 0.910
In 1.065 0.427 6.635
O -0.003 2.683 2.783
O -0.013 4.414 4.862
O 1.535 -0.084 2.683
O 1.524 1.647 4.763